This record from the Alexandria database describes a relaxed CaHg3Bi crystal. The functional is GGA-PBE.

```
data_CaHg3Bi
_cell_length_a 11.275
_cell_length_b 4.920
_cell_length_c 10.579
_cell_angle_alpha 90.00
_cell_angle_beta 90.00
_cell_angle_gamma 90.00
_symmetry_space_group_name_H-M 'P n m a'
_symmetry_Int_Tables_number 62
_symmetry_space_group_name_Hall '-P 2ac 2n'
loop_
_atom_site_label
_atom_site_fract_x
_atom_site_fract_y
_atom_site_fract_z
Ca1 0.144 0.250 0.146
Hg1 0.044 0.250 0.860
Hg2 0.063 0.750 0.629
Hg3 0.131 0.750 0.354
Bi1 0.209 0.750 0.929
```

## Properties
Total magnetization (μB/cell): 0.00
ΔE_f (eV/atom): -0.277
Calculated volume (Å³ per atom): 29.34
Crystal system: orthorhombic
Theoretical density (g/cm3): 9.6